1.
# In16Ga12Hg

A relaxed structure of In16Ga12Hg (PBE, Alexandria).

The space group is Cm (8). The energy of formation from the pure elements comes out at 0.039 eV/atom. The calculation puts the density of states at the Fermi level at 9.84 states/eV/f.u.

The structure in POSCAR format:
```
In16Ga12Hg
1.0
9.807 -0.530 -3.157
-5.303 8.267 -3.157
-0.142 -0.243 9.080
Ga In Hg
12 16 1
Cartesian
2.786 4.786 3.269
1.786 6.444 1.186
2.528 0.776 7.476
-3.491 8.067 -0.569
4.721 4.735 1.186
-0.574 2.581 7.476
-2.446 6.199 4.285
-1.546 7.840 -2.536
8.739 0.947 -0.569
6.598 0.934 4.285
3.722 6.394 -3.521
7.580 2.527 -2.536
1.282 2.202 4.284
4.236 1.964 2.617
0.945 7.558 3.936
-2.195 3.171 4.952
-3.678 5.636 1.456
6.717 -0.416 1.456
-0.073 -0.125 5.883
3.841 -0.343 4.952
-0.384 4.654 2.617
1.579 2.712 0.833
0.004 0.007 -0.003
0.672 5.146 -3.322
6.105 4.554 3.936
-0.733 5.651 -0.423
4.143 3.125 -3.322
5.277 2.153 -0.423
2.783 4.781 -1.053
```

***

2.
# ThU4Pa

A relaxed structure of ThU4Pa (PBE, Alexandria).

The space group is F-43m (216). The energy of formation from the pure elements comes out at 0.135 eV/atom. The calculation puts the density of states at the Fermi level at 17.80 states/eV/f.u.

The structure in POSCAR format:
```
ThU4Pa
1.0
5.773 0.000 0.000
2.887 5.000 0.000
2.887 1.667 4.714
U Pa Th
4 1 1
Cartesian
4.330 4.167 2.946
5.773 3.333 0.589
5.773 1.666 2.946
7.217 4.167 2.946
0.000 0.000 0.000
2.887 1.667 1.178
```

***

3.
# CaZn12Au4

A relaxed structure of CaZn12Au4 (PBE, Alexandria).

The space group is Im-3 (204). The energy of formation from the pure elements comes out at -0.004 eV/atom. The calculation puts the density of states at the Fermi level at 5.27 states/eV/f.u.

The structure in POSCAR format:
```
CaZn12Au4
1.0
-0.464 -5.663 5.198
5.568 -1.617 -5.068
1.621 6.630 3.566
Zn Au Ca
12 4 1
Cartesian
3.850 1.208 3.870
4.797 3.369 0.320
5.231 -0.203 -1.964
1.494 -0.447 5.659
2.875 -1.858 -0.174
5.563 0.075 0.554
2.732 1.929 0.752
3.993 -2.578 2.944
2.384 3.300 3.833
1.162 -0.725 3.142
1.928 -4.019 3.375
4.341 -3.949 -0.137
2.784 -0.808 -2.534
-0.232 -2.832 2.599
0.810 3.315 1.783
3.362 -0.325 1.848
0.000 0.000 0.000
```

***

4.
# Sc3HgO

A relaxed structure of Sc3HgO (PBE, Alexandria).

The energy relative to the elements, uncorrected comes out at -0.74 eV/atom. For the energy above the most stable polymorph in this dataset, the calculation gives 72.86 kJ/mol of atoms. The space group is P4mm (99). The calculation puts the density of states at the Fermi level at 3.26 states/eV/f.u.

The structure in POSCAR format:
```
Sc3HgO
1.0
-3.369 2.104 1.206
-2.414 -3.106 -1.326
0.436 -3.373 7.106
O Sc Hg
1 3 1
Cartesian
-2.709 -1.911 2.911
-1.487 -0.478 3.826
0.342 -2.644 5.569
-1.009 -3.083 2.560
0.068 -0.522 1.100
```

***

5.
# BeZn5Au8

A relaxed structure of BeZn5Au8 (PBE, Alexandria).

The space group is I-4 (82). The energy of formation from the pure elements comes out at -0.111 eV/atom. The calculation puts the density of states at the Fermi level at 3.76 states/eV/f.u.

The structure in POSCAR format:
```
BeZn5Au8
1.0
-0.539 4.515 -4.978
-2.607 -5.907 -1.939
-3.341 2.359 5.359
Au Zn Be
8 5 1
Cartesian
-2.329 -1.230 -2.316
-4.012 -2.266 0.793
-4.122 2.131 0.756
-2.841 1.237 3.815
-5.296 -1.687 3.368
-2.513 3.297 -2.346
-1.925 0.393 0.178
-5.715 -0.167 -0.138
-3.610 -0.240 -4.518
-3.797 0.951 -1.785
-1.909 2.188 -4.880
-0.859 1.189 -2.269
-1.940 3.437 0.191
-3.945 -0.056 1.806
```

***

6.
# TlNi3

A relaxed structure of TlNi3 (PBE, Alexandria).

The space group is R-3m (166). The energy of formation from the pure elements comes out at 0.419 eV/atom. The calculation puts the density of states at the Fermi level at 6.23 states/eV/f.u.

The structure in POSCAR format:
```
TlNi3
1.0
4.916 -0.001 -0.003
-2.193 4.400 -0.003
-2.193 -3.544 2.608
Ni Tl
3 1
Cartesian
1.361 -1.772 1.302
0.000 0.000 0.000
1.361 2.199 -0.003
-2.193 0.428 1.302
```

***

7.
# KTiPS2

A relaxed structure of KTiPS2 (PBE, Alexandria).

The energy relative to the elements, uncorrected comes out at -0.67 eV/atom. For the energy above the most stable polymorph in this dataset, the calculation gives 0.00 kJ/mol of atoms. The space group is P4/mmm (123). The calculation puts the density of states at the Fermi level at 3.06 states/eV/f.u.

The structure in POSCAR format:
```
KTiPS2
1.0
-0.365 2.576 -4.072
-4.114 1.959 1.608
2.491 3.564 2.031
P S K Ti
1 2 1 1
Cartesian
1.246 1.782 1.016
-2.057 0.980 0.804
-0.183 1.288 -2.036
-0.994 4.050 -0.216
0.000 0.000 0.000
```

***

8.
# Li2P2Rh3

A relaxed structure of Li2P2Rh3 (PBE, Alexandria).

The space group is Pbam (55). The energy of formation from the pure elements comes out at -0.596 eV/atom. The calculation puts the density of states at the Fermi level at 3.52 states/eV/f.u.

The structure in POSCAR format:
```
Li2P2Rh3
1.0
-2.491 -0.511 -1.408
-1.636 -3.529 4.176
-5.057 9.049 5.666
Rh P Li
6 4 4
Cartesian
-2.766 -1.054 5.277
-1.987 0.781 3.234
-3.346 2.760 4.921
0.000 0.000 0.000
-4.705 4.739 6.608
-3.927 6.575 4.565
-5.002 4.385 4.261
-6.947 4.638 7.611
-4.182 0.625 4.173
-2.237 0.372 0.823
-5.648 2.223 6.189
-2.837 -1.692 2.633
-3.535 2.787 2.245
-6.347 6.701 5.801
```